Entry from the Alexandria database: a relaxed structure of LiBeGaRu (GGA-PBE).

Structure (POSCAR):
```
LiBeGaRu
1.0
0.0000 2.9058 2.9058
2.9058 0.0000 2.9058
2.9058 2.9058 0.0000
Li Be Ga Ru
1 1 1 1
Direct
0.0000 0.0000 0.0000
0.2500 0.2500 0.2500
0.7500 0.7500 0.7500
0.5000 0.5000 0.5000
```

Fermi-level density of states, states/eV/atom: 0.61
Energy, eV per atom: -4.6998
Symmetry: F-43m (216)
Formation energy from the elements, eV/atom: -0.21